--- P ---
First-principles (PBE) data for a relaxed Be3FeAg crystal, as listed in Alexandria via LeMat-Bulk.

Output
Magnetization = 0.000 μB/cell

abc: 3.9656 3.9656 3.9656
angles: 90.00 90.00 90.00
Fractional coordinates of all 5 atoms:
Fe (0.0000, 0.0000, 0.0000)
Be (0.5000, 0.0000, 0.0000)
Be (0.0000, 0.0000, 0.5000)
Ag (0.5000, 0.5000, 0.5000)
Be (0.0000, 0.5000, 0.0000)

=====

--- Q ---
First-principles (PBE) data for a relaxed Be3FeAg crystal, as listed in Alexandria via LeMat-Bulk.

Output
Magnetization = 2.966 μB/cell

abc: 4.2116 4.2116 4.2116
angles: 90.00 90.00 90.00
Site moments in Bohr magnetons follow the coordinates.
Fractional coordinates of all 5 atoms:
Be (0.0000, 0.0000, 0.5000)  -0.02
Ag (0.0000, 0.0000, 0.0000)  0.01
Be (0.5000, 0.0000, 0.0000)  -0.02
Be (0.0000, 0.5000, 0.0000)  -0.01
Fe (0.5000, 0.5000, 0.5000)  3.07

=====

Taking the most stable structure as the zero point, the relative energies in meV per atom are P 0; Q 411.

=====

--- P ---
First-principles (PBE) data for a relaxed BeFeAg3 crystal, as listed in Alexandria via LeMat-Bulk.

Output
Magnetization = 3.254 μB/cell

abc: 4.8248 4.8248 4.8248
angles: 90.00 90.00 90.00
Site moments in Bohr magnetons follow the coordinates.
Fractional coordinates of all 5 atoms:
Ag (0.0000, 0.0000, 0.5000)  0.10
Be (0.5000, 0.5000, 0.5000)  0.06
Ag (0.0000, 0.5000, 0.0000)  0.06
Fe (0.0000, 0.0000, 0.0000)  2.86
Ag (0.5000, 0.0000, 0.0000)  0.03

=====

--- Q ---
First-principles (PBE) data for a relaxed BeFeAg3 crystal, as listed in Alexandria via LeMat-Bulk.

Output
Magnetization = 3.094 μB/cell

abc: 4.3742 4.3742 4.3742
angles: 90.00 90.00 90.00
Site moments in Bohr magnetons follow the coordinates.
Fractional coordinates of all 5 atoms:
Be (0.0000, 0.0000, 0.0000)  0.01
Ag (0.5000, 0.0000, 0.0000)  -0.03
Ag (0.0000, 0.5000, 0.0000)  -0.03
Fe (0.5000, 0.5000, 0.5000)  3.18
Ag (0.0000, 0.0000, 0.5000)  -0.01

=====

Taking the most stable structure as the zero point, the relative energies in meV per atom are P 673; Q 0.